First-principles (GGA-PBE) data for a relaxed structure of InGa2Sn2, as listed in the Alexandria database.

Results
**Total DFT energy (no corrections)**: -16.5 eV for the cell shown
**Magnetization**: 0.0 μB/cell

Unit cell a=6.5271 b=6.5271 c=6.5271 alpha=136.40 beta=136.40 gamma=63.36
Fractional coordinates of all 5 atoms:
In  0.0000  0.0000  0.0000
Ga  0.3888  0.3888  0.0000
Ga  0.6112  0.6112  0.0000
Sn  0.2500  0.7500  0.5000
Sn  0.7500  0.2500  0.5000